DFT (GGA-PBE) results for a relaxed HfCdSn2 crystal.

Properties
magnetization: 0.0 μB/f.u.
formation energy: 213 meV per atom
crystal system: tetragonal
D(E_F): 0.683 states/eV/atom
E: -72.09 eV per cell

a b c (Å): 8.0056 8.0056 6.2478
angles (deg): 90.00 90.00 90.00
Space group I-42d (No. 122)
Asymmetric unit:
Hf 0.0000 0.0000 0.0000
Cd 0.0000 0.0000 0.5000
Sn 0.2430 0.2500 0.6250

DFT (GGA-PBE) results for a relaxed HfCdSn2 crystal.

Properties
magnetization: 0.0 μB/f.u.
formation energy: 68 meV per atom
crystal system: trigonal
D(E_F): 0.544 states/eV/atom
E: -55.81 eV per cell

a b c (Å): 4.4600 4.4600 18.2139
angles (deg): 90.00 90.00 120.00
Space group R3m (No. 160, hexagonal axes)
Asymmetric unit:
Hf 0.0000 0.0000 0.0000
Cd 0.0000 0.0000 0.1733
Sn 0.0000 0.0000 0.4153
Sn 0.0000 0.0000 0.5892

DFT (GGA-PBE) results for a relaxed Hf5CdSn2 crystal.

Properties
magnetization: 0.0 μB/f.u.
formation energy: 226 meV per atom
crystal system: orthorhombic
D(E_F): 0.858 states/eV/atom
E: -227.51 eV per cell

a b c (Å): 4.8793 13.6223 12.3990
angles (deg): 90.00 90.00 90.00
Space group Cmcm (No. 63)
Asymmetric unit:
Hf 0.0000 0.1106 0.1254
Hf 0.0000 0.3041 0.7500
Hf 0.0000 0.3103 0.0071
Cd 0.0000 0.3310 0.2500
Sn 0.0000 0.1052 0.6185

DFT (GGA-PBE) results for a relaxed SrHf2CdSn crystal.

Properties
magnetization: 2.1 μB/f.u.
formation energy: 891 meV per atom
crystal system: tetragonal
D(E_F): 1.091 states/eV/atom
E: -22.05 eV per cell

a b c (Å): 5.3752 5.3752 5.5095
angles (deg): 90.00 90.00 90.00
Space group P4/mmm (No. 123)
Asymmetric unit:
Sr 0.0000 0.0000 0.0000
Hf 0.0000 0.5000 0.5000
Cd 0.5000 0.5000 0.5000
Sn 0.5000 0.5000 0.0000

DFT (GGA-PBE) results for a relaxed Hf2CdTcSn crystal.

Properties
magnetization: 1.7 μB/f.u.
formation energy: 1530 meV per atom
crystal system: tetragonal
D(E_F): 0.927 states/eV/atom
E: -27.54 eV per cell

a b c (Å): 5.2559 5.2559 4.9936
angles (deg): 90.00 90.00 90.00
Space group P4/mmm (No. 123)
Asymmetric unit:
Hf 0.0000 0.5000 0.0000
Cd 0.0000 0.0000 0.5000
Tc 0.5000 0.5000 0.5000
Sn 0.0000 0.0000 0.0000

DFT (GGA-PBE) results for a relaxed Sr2HfCd crystal.

Properties
magnetization: 2.0 μB/f.u.
formation energy: 669 meV per atom
crystal system: tetragonal
D(E_F): 0.674 states/eV/atom
E: -46.23 eV per cell

a b c (Å): 9.1169 9.1169 6.6409
angles (deg): 90.00 90.00 90.00
Space group I-42d (No. 122)
Asymmetric unit:
Sr 0.2209 0.2500 0.1250
Hf 0.0000 0.0000 0.5000
Cd 0.0000 0.0000 0.0000

DFT (GGA-PBE) results for a relaxed SrHfCd3 crystal.

Properties
E above lowest polymorph: 0 meV per atom
magnetization: 1.6 μB/f.u.
formation energy: 396 meV per atom
crystal system: cubic
D(E_F): 1.182 states/eV/atom
E: -12.40 eV per cell

a b c (Å): 5.5541 5.5541 5.5541
angles (deg): 90.00 90.00 90.00
Space group Pm-3m (No. 221)
Asymmetric unit:
Sr 0.0000 0.0000 0.0000
Hf 0.5000 0.5000 0.5000
Cd 0.0000 0.5000 0.5000

DFT (GGA-PBE) results for a relaxed SrHf3Cd crystal.

Properties
E above lowest polymorph: 0 meV per atom
magnetization: 1.9 μB/f.u.
formation energy: 1112 meV per atom
crystal system: cubic
D(E_F): 1.353 states/eV/atom
E: -26.90 eV per cell

a b c (Å): 5.3606 5.3606 5.3606
angles (deg): 90.00 90.00 90.00
Space group Pm-3m (No. 221)
Asymmetric unit:
Sr 0.0000 0.0000 0.0000
Hf 0.0000 0.5000 0.5000
Cd 0.5000 0.5000 0.5000

DFT (GGA-PBE) results for a relaxed Sr3HfCd crystal.

Properties
E above lowest polymorph: 117 meV per atom
magnetization: 1.6 μB/f.u.
formation energy: 867 meV per atom
crystal system: cubic
D(E_F): 1.931 states/eV/atom
E: -11.58 eV per cell

a b c (Å): 6.1819 6.1819 6.1819
angles (deg): 90.00 90.00 90.00
Space group Pm-3m (No. 221)
Asymmetric unit:
Sr 0.0000 0.0000 0.5000
Hf 0.0000 0.0000 0.0000
Cd 0.5000 0.5000 0.5000

DFT (GGA-PBE) results for a relaxed Sr3HfCd crystal.

Properties
E above lowest polymorph: 0 meV per atom
magnetization: 2.9 μB/f.u.
formation energy: 750 meV per atom
crystal system: cubic
D(E_F): 1.198 states/eV/atom
E: -12.16 eV per cell

a b c (Å): 6.1378 6.1378 6.1378
angles (deg): 90.00 90.00 90.00
Space group Pm-3m (No. 221)
Asymmetric unit:
Sr 0.0000 0.0000 0.5000
Hf 0.5000 0.5000 0.5000
Cd 0.0000 0.0000 0.0000

DFT (GGA-PBE) results for a relaxed SrHf2Cd2 crystal.

Properties
E above lowest polymorph: 0 meV per atom
magnetization: 0.0 μB/f.u.
formation energy: 173 meV per atom
crystal system: tetragonal
D(E_F): 1.505 states/eV/atom
E: -45.11 eV per cell

a b c (Å): 8.9282 8.9282 3.1518
angles (deg): 90.00 90.00 90.00
Space group P4/mbm (No. 127)
Asymmetric unit:
Sr 0.0000 0.0000 0.0000
Hf 0.1163 0.3837 0.0000
Cd 0.1781 0.6781 0.5000

DFT (GGA-PBE) results for a relaxed SrHf3Cd crystal.

Properties
E above lowest polymorph: 887 meV per atom
magnetization: 0.0 μB/f.u.
formation energy: 2000 meV per atom
crystal system: cubic
D(E_F): 1.368 states/eV/atom
E: -22.46 eV per cell

a b c (Å): 5.1620 5.1620 5.1620
angles (deg): 90.00 90.00 90.00
Space group Pm-3m (No. 221)
Asymmetric unit:
Sr 0.0000 0.0000 0.0000
Hf 0.0000 0.0000 0.5000
Cd 0.5000 0.5000 0.5000

DFT (GGA-PBE) results for a relaxed HfTa3Cd crystal.

Properties
E above lowest polymorph: 0 meV per atom
magnetization: 0.0 μB/f.u.
formation energy: 1813 meV per atom
crystal system: cubic
D(E_F): 1.184 states/eV/atom
E: -37.36 eV per cell

a b c (Å): 4.9364 4.9364 4.9364
angles (deg): 90.00 90.00 90.00
Space group Pm-3m (No. 221)
Asymmetric unit:
Hf 0.0000 0.0000 0.0000
Ta 0.0000 0.0000 0.5000
Cd 0.5000 0.5000 0.5000

DFT (GGA-PBE) results for a relaxed HfTa3Cd crystal.

Properties
E above lowest polymorph: 166 meV per atom
magnetization: 0.1 μB/f.u.
formation energy: 1980 meV per atom
crystal system: cubic
D(E_F): 1.668 states/eV/atom
E: -36.53 eV per cell

a b c (Å): 4.9536 4.9536 4.9536
angles (deg): 90.00 90.00 90.00
Space group Pm-3m (No. 221)
Asymmetric unit:
Hf 0.0000 0.0000 0.0000
Ta 0.0000 0.5000 0.5000
Cd 0.5000 0.5000 0.5000

DFT (GGA-PBE) results for a relaxed HfTaTiCd crystal.

Properties
magnetization: 0.0 μB/f.u.
formation energy: 162 meV per atom
crystal system: cubic
D(E_F): 1.183 states/eV/atom
E: -119.87 eV per cell

a b c (Å): 6.7445 6.7445 6.7445
angles (deg): 90.00 90.00 90.00
Space group F-43m (No. 216)
Asymmetric unit:
Hf 0.0000 0.0000 0.0000
Ta 0.2500 0.2500 0.2500
Ti 0.0000 0.0000 0.5000
Cd 0.2500 0.2500 0.7500

DFT (GGA-PBE) results for a relaxed HfTaVCd2 crystal.

Properties
magnetization: 0.1 μB/f.u.
formation energy: 1933 meV per atom
crystal system: tetragonal
D(E_F): 1.569 states/eV/atom
E: -23.09 eV per cell

a b c (Å): 5.2993 5.2993 4.9056
angles (deg): 90.00 90.00 90.00
Space group P4/mmm (No. 123)
Asymmetric unit:
Hf 0.0000 0.0000 0.0000
Ta 0.0000 0.0000 0.5000
V 0.5000 0.5000 0.5000
Cd 0.0000 0.5000 0.0000

DFT (GGA-PBE) results for a relaxed TbHfCd2 crystal.

Properties
E above lowest polymorph: 0 meV per atom
magnetization: 0.1 μB/f.u.
formation energy: -85 meV per atom
crystal system: tetragonal
D(E_F): 1.222 states/eV/atom
E: -16.75 eV per cell

a b c (Å): 3.5958 3.5958 7.3280
angles (deg): 90.00 90.00 90.00
Space group P4/mmm (No. 123)
Asymmetric unit:
Tb 0.0000 0.0000 0.0000
Hf 0.0000 0.0000 0.5000
Cd 0.5000 0.5000 0.2730

DFT (GGA-PBE) results for a relaxed TbHfCd2 crystal.

Properties
E above lowest polymorph: 32 meV per atom
magnetization: 0.8 μB/f.u.
formation energy: -53 meV per atom
crystal system: cubic
D(E_F): 1.070 states/eV/atom
E: -66.51 eV per cell

a b c (Å): 7.2412 7.2412 7.2412
angles (deg): 90.00 90.00 90.00
Space group Fm-3m (No. 225)
Asymmetric unit:
Tb 0.0000 0.0000 0.0000
Hf 0.0000 0.0000 0.5000
Cd 0.2500 0.2500 0.2500

DFT (GGA-PBE) results for a relaxed Tb2HfCd crystal.

Properties
E above lowest polymorph: 408 meV per atom
magnetization: 0.0 μB/f.u.
formation energy: 321 meV per atom
crystal system: trigonal
D(E_F): 1.578 states/eV/atom
E: -56.53 eV per cell

a b c (Å): 3.2380 3.2380 35.6209
angles (deg): 90.00 90.00 120.00
Space group R-3m (No. 166, hexagonal axes)
Asymmetric unit:
Tb 0.0000 0.0000 0.0895
Hf 0.0000 0.0000 0.0000
Cd 0.0000 0.0000 0.5000

DFT (GGA-PBE) results for a relaxed Tb2HfCd crystal.

Properties
E above lowest polymorph: 125 meV per atom
magnetization: 0.0 μB/f.u.
formation energy: 38 meV per atom
crystal system: tetragonal
D(E_F): 1.442 states/eV/atom
E: -19.98 eV per cell

a b c (Å): 5.5208 5.5208 3.4456
angles (deg): 90.00 90.00 90.00
Space group P4/mmm (No. 123)
Asymmetric unit:
Tb 0.0000 0.5000 0.0000
Hf 0.0000 0.0000 0.5000
Cd 0.5000 0.5000 0.5000

DFT (GGA-PBE) results for a relaxed Tb2HfCd crystal.

Properties
E above lowest polymorph: 0 meV per atom
magnetization: 0.0 μB/f.u.
formation energy: -87 meV per atom
crystal system: tetragonal
D(E_F): 1.077 states/eV/atom
E: -20.48 eV per cell

a b c (Å): 3.4108 3.4108 9.1022
angles (deg): 90.00 90.00 90.00
Space group P4/mmm (No. 123)
Asymmetric unit:
Tb 0.0000 0.0000 0.2488
Hf 0.5000 0.5000 0.5000
Cd 0.5000 0.5000 0.0000

DFT (GGA-PBE) results for a relaxed HfCd2Tc crystal.

Properties
E above lowest polymorph: 0 meV per atom
magnetization: 0.0 μB/f.u.
formation energy: 349 meV per atom
crystal system: cubic
D(E_F): 0.987 states/eV/atom
E: -83.02 eV per cell

a b c (Å): 6.7025 6.7025 6.7025
angles (deg): 90.00 90.00 90.00
Space group Fm-3m (No. 225)
Asymmetric unit:
Hf 0.0000 0.0000 0.0000
Cd 0.2500 0.2500 0.2500
Tc 0.0000 0.0000 0.5000

DFT (GGA-PBE) results for a relaxed Hf3CdTc crystal.

Properties
E above lowest polymorph: 0 meV per atom
magnetization: 0.0 μB/f.u.
formation energy: 465 meV per atom
crystal system: cubic
D(E_F): 1.750 states/eV/atom
E: -38.82 eV per cell

a b c (Å): 4.9975 4.9975 4.9975
angles (deg): 90.00 90.00 90.00
Space group Pm-3m (No. 221)
Asymmetric unit:
Hf 0.0000 0.0000 0.5000
Cd 0.5000 0.5000 0.5000
Tc 0.0000 0.0000 0.0000

DFT (GGA-PBE) results for a relaxed HfCd2Tc crystal.

Properties
E above lowest polymorph: 58 meV per atom
magnetization: 0.0 μB/f.u.
formation energy: 407 meV per atom
crystal system: tetragonal
D(E_F): 0.696 states/eV/atom
E: -82.09 eV per cell

a b c (Å): 3.9158 3.9158 21.3239
angles (deg): 90.00 90.00 90.00
Space group I-42d (No. 122)
Asymmetric unit:
Hf 0.0000 0.0000 0.0000
Cd 0.2390 0.2500 0.6250
Tc 0.0000 0.0000 0.5000

DFT (GGA-PBE) results for a relaxed Hf2CdTc crystal.

Properties
magnetization: 0.6 μB/f.u.
formation energy: 627 meV per atom
crystal system: tetragonal
D(E_F): 0.842 states/eV/atom
E: -114.72 eV per cell

a b c (Å): 4.1594 4.1594 19.4992
angles (deg): 90.00 90.00 90.00
Space group I-42d (No. 122)
Asymmetric unit:
Hf 0.2361 0.2500 0.1250
Cd 0.0000 0.0000 0.5000
Tc 0.0000 0.0000 0.0000

DFT (GGA-PBE) results for a relaxed HfCdTc3 crystal.

Properties
E above lowest polymorph: 451 meV per atom
magnetization: 2.4 μB/f.u.
formation energy: 2123 meV per atom
crystal system: cubic
D(E_F): 1.682 states/eV/atom
E: -31.35 eV per cell

a b c (Å): 4.7762 4.7762 4.7762
angles (deg): 90.00 90.00 90.00
Space group Pm-3m (No. 221)
Asymmetric unit:
Hf 0.0000 0.0000 0.0000
Cd 0.5000 0.5000 0.5000
Tc 0.0000 0.5000 0.5000

DFT (GGA-PBE) results for a relaxed Hf2CdTc crystal.

Properties
magnetization: 0.0 μB/f.u.
formation energy: 382 meV per atom
crystal system: trigonal
D(E_F): 1.498 states/eV/atom
E: -88.97 eV per cell

a b c (Å): 2.9979 2.9979 31.2253
angles (deg): 90.00 90.00 120.00
Space group R-3m (No. 166, hexagonal axes)
Asymmetric unit:
Hf 0.0000 0.0000 0.0812
Cd 0.0000 0.0000 0.5000
Tc 0.0000 0.0000 0.0000

DFT (GGA-PBE) results for a relaxed HfCd3Tc crystal.

Properties
E above lowest polymorph: 503 meV per atom
magnetization: 2.6 μB/f.u.
formation energy: 1701 meV per atom
crystal system: cubic
D(E_F): 1.297 states/eV/atom
E: -14.56 eV per cell

a b c (Å): 5.4497 5.4497 5.4497
angles (deg): 90.00 90.00 90.00
Space group Pm-3m (No. 221)
Asymmetric unit:
Hf 0.0000 0.0000 0.0000
Cd 0.0000 0.0000 0.5000
Tc 0.5000 0.5000 0.5000